A plane-wave DFT calculation with GGA-PBE was carried out for a relaxed Tm4AgSb2 crystal.

Computed properties:
**Calculated total energy**: -4.621 eV/atom
**Magnetization**: 0.0 μB/f.u.

a = 7.0057 Å, b = 6.4465 Å, c = 8.9346 Å
α = 90.00°, β = 108.84°, γ = 90.00°
Fractional positions:
Sb: 0.2339 0.2500 0.9455
Ag: 0.8155 0.2500 0.8280
Tm: 0.4641 0.9960 0.7682
Sb: 0.3331 0.2500 0.4522
Ag: 0.1845 0.7500 0.1720
Sb: 0.6669 0.7500 0.5478
Tm: 0.5359 0.4960 0.2318
Tm: 0.0469 0.7500 0.8331
Tm: 0.4641 0.5040 0.7682
Tm: 0.9383 0.2500 0.5524
Tm: 0.0617 0.7500 0.4476
Sb: 0.7661 0.7500 0.0545
Tm: 0.5359 0.0040 0.2318
Tm: 0.9531 0.2500 0.1669

A plane-wave DFT calculation with GGA-PBE was carried out for a relaxed TmAgSb crystal.

Computed properties:
**Calculated total energy**: -4.302 eV/atom
**Magnetization**: 0.0 μB/f.u.

a = 4.0946 Å, b = 4.5370 Å, c = 4.5370 Å
α = 120.00°, β = 90.00°, γ = 90.00°
Fractional positions:
Ag: 0.0649 0.0000 0.0000
Tm: 0.6862 0.6667 0.3333
Sb: 0.2489 0.3333 0.6667

no.,uncorrected formation energy (eV/atom)
1,-0.480
2,-0.487